Material: ZnAsPbSe2
Method: DFT, SCAN
State: PBEsol geometry

The structure belongs to space group P4/mmm (No. 123); the cell edges are 5.0043, 5.0043 and 4.6698 Å and the angles 90.00°, 90.00° and 90.00°. The asymmetric unit holds Zn at (0.0000, 0.0000, 0.0000), As at (0.0000, 0.0000, 0.5000), Pb at (0.5000, 0.5000, 0.5000) and Se at (0.0000, 0.5000, 0.0000).

As for the uncorrected formation energy: 218 meV per atom. As for the density: 7.18 Mg/m³. The total magnetic moment comes out at 0.00 μB per formula unit. The calculation puts the final energy at -29.7103 eV per atom.